RbCe2Tl3S6 | GGA-PBE | relaxed

Unit cell a=4.218 b=8.893 c=10.047 alpha=102.58 beta=102.12 gamma=90.00
Last column: magnetic moment on the atom in μB.
Fractional positions:
1 Rb 0.500 0.000 0.000  0.00
2 Ce 0.827 0.664 0.654  0.18
3 Ce 0.173 0.336 0.346  0.18
4 Tl 0.500 0.500 0.000  0.00
5 Tl 0.835 0.173 0.671  0.00
6 Tl 0.165 0.827 0.329  0.00
7 S 0.318 0.863 0.635  -0.01
8 S 0.681 0.555 0.362  -0.01
9 S 0.682 0.137 0.365  -0.01
10 S 0.040 0.283 0.080  -0.01
11 S 0.960 0.717 0.920  -0.01
12 S 0.319 0.445 0.638  -0.01

As for the uncorrected energy: -4.9120 eV/atom.